Sm2ScZn6 | GGA-PBE | optimized geometry

extended XYZ file:
```
9
Lattice="3.4364 0.0000 0.0000 0.0000 6.7407 -3.8917 0.0000 0.0000 7.7835" Properties=species:S:1:pos:R:3 pbc="T T T"
Sc 0.0000 0.0000 7.7835
Zn 1.7182 0.0000 2.5295
Zn 1.7182 4.5500 -2.6269
Zn 1.7182 2.1907 1.2648
Zn 1.7182 2.1907 -1.2648
Zn 1.7182 0.0000 5.2539
Zn 1.7182 4.5500 2.6270
Sm 3.4364 4.4938 0.0000
Sm 0.0000 2.2469 3.8917
```

formation energy from the elements = -296 kJ/mol of formula units
energy = -26.479 eV per formula unit
space-group type = P6/mmm
magnetic moment = 0.00 μB per formula unit
crystal system = hexagonal
DOS at the Fermi energy = 6.4 states/eV/f.u.

Sm2ScZn | GGA-PBE | optimized geometry

extended XYZ file:
```
4
Lattice="3.3779 0.0000 0.0000 1.6889 2.9253 0.0000 1.6889 0.9751 11.3199" Properties=species:S:1:pos:R:3 pbc="T T T"
Zn 3.3779 1.9502 5.6599
Sm 1.6890 0.9751 8.0513
Sm 5.0668 2.9253 3.2686
Sc 0.0000 0.0000 0.0000
```

formation energy from the elements = 80 kJ/mol of formula units
energy = -16.216 eV per formula unit
space-group type = R-3m
magnetic moment = 0.07 μB per formula unit
crystal system = trigonal
DOS at the Fermi energy = 6.3 states/eV/f.u.

Which of these has the lowest formation energy from the elements? Sm2ScZn6

What is the magnetic moment in the second record? 0.07 μB per formula unit